Below is crystalline HfZr2TiH at its relaxed geometry, with properties calculated at the GGA-PBE level.

Cell lengths 4.4789, 4.4789, 4.3451 Å; angles 90.00, 90.00, 90.00 degrees
Positions (direct):
Hf  0.0000  0.0000  0.0000
Zr  0.0000  0.5000  0.5000
Zr  0.5000  0.0000  0.5000
Ti  0.5000  0.5000  0.0000
H  0.5000  0.5000  0.5000

Computed properties:
energy relative to the lowest polymorph listed for this composition = 0.0 meV per atom
uncorrected energy = -7.73 eV per atom
calculated volume = 87 Å³ per cell
crystal system = tetragonal